Here is Tl2FeSb after structural relaxation from the Alexandria database. Energies are from PBE.

Results
space-group type	I-4m2 (119)
E above lowest polymorph	298	meV/atom
electronic total energy	-15.13	eV per formula unit
energy relative to the elements, uncorrected	0.546	eV/atom

Cell: 4.8839 4.8839 8.3537 Å, 90.00 90.00 90.00°
With the nearest neighbours (Å) after each atom.
Fractional coordinates of all 8 atoms:
Tl  0.0000  0.0000  0.0000  4 Tl 3.21, 4 Fe 3.21, 4 Sb 3.45
Tl  0.0000  0.5000  0.2500  4 Tl 3.21, 4 Sb 3.21, 4 Fe 3.45
Tl  0.5000  0.0000  0.7500  4 Tl 3.21, 4 Sb 3.21, 4 Fe 3.45
Tl  0.5000  0.5000  0.5000  4 Tl 3.21, 4 Fe 3.21, 4 Sb 3.45
Fe  0.0000  0.5000  0.7500  8 Tl 3.21-3.45, 4 Sb 3.21
Fe  0.5000  0.0000  0.2500  8 Tl 3.21-3.45, 4 Sb 3.21
Sb  0.0000  0.0000  0.5000  8 Tl 3.21-3.45, 4 Fe 3.21
Sb  0.5000  0.5000  0.0000  8 Tl 3.21-3.45, 4 Fe 3.21